Entry i
DFT (PBE-GGA) results for a relaxed Er3Mg4Sc crystal.

Geometry as POSCAR:
```
Er3Mg4Sc
1.0
3.2339 0.0000 0.0000
0.0000 6.2664 0.0000
-1.6169 -3.1332 10.7171
Mg Sc Er
4 1 3
Direct
0.3767 0.6212 0.7533
0.6233 0.3788 0.2467
0.3767 0.1321 0.7533
0.6233 0.8679 0.2467
0.5000 0.0000 0.0000
0.0000 0.5000 0.0000
0.2378 0.2378 0.4757
0.7622 0.7622 0.5243
```

## Properties
The calculation puts the density of states at the Fermi level at 1.184 states/eV per atom. As for the space group: Immm, No. 71.

Entry ii
DFT (PBE-GGA) results for a relaxed Er3Mg4Sc crystal.

Geometry as POSCAR:
```
Er3Mg4Sc
1.0
-2.5522 -1.6800 2.1134
1.3638 -3.3122 -0.9861
9.3832 0.3962 11.6465
Mg Sc Er
4 1 3
Direct
0.0000 0.0000 0.1144
0.0000 0.0000 0.6277
0.0000 0.0000 0.3723
0.0000 0.0000 0.8856
0.5000 0.5000 0.0000
0.5000 0.5000 0.2444
0.5000 0.5000 0.5000
0.5000 0.5000 0.7556
```

## Properties
The calculation puts the density of states at the Fermi level at 1.330 states/eV per atom. As for the space group: P4/mmm, No. 123.

entry ii wins, 153 meV/atom ahead of the next structure.

Entry i
DFT (PBE-GGA) results for a relaxed Er2Mg2Sc crystal.

Geometry as POSCAR:
```
Er2Mg2Sc
1.0
-1.8939 4.3761 1.6957
-2.7618 -0.2635 5.1476
3.0322 2.5788 4.2837
Er Mg Sc
2 2 1
Direct
0.1957 0.3043 0.3043
0.8043 0.6957 0.6957
0.5000 0.2825 0.7175
0.5000 0.7175 0.2825
0.0000 0.0000 0.0000
```

## Properties
The calculation puts the density of states at the Fermi level at 1.318 states/eV per atom. As for the space group: Immm, No. 71.

Entry ii
DFT (PBE-GGA) results for a relaxed Er2Mg2Sc crystal.

Geometry as POSCAR:
```
Er2Mg2Sc
1.0
3.5664 0.0000 -0.4771
0.0000 5.2916 0.0000
0.0417 0.0000 13.8413
Er Mg Sc
4 4 2
Direct
0.7628 0.2500 0.5253
0.2372 0.7500 0.4747
0.0415 0.7500 0.0827
0.9585 0.2500 0.9173
0.4400 0.7500 0.8789
0.3602 0.2500 0.7214
0.6398 0.7500 0.2786
0.5600 0.2500 0.1211
0.8444 0.7500 0.6889
0.1556 0.2500 0.3111
```

## Properties
The calculation puts the density of states at the Fermi level at 1.031 states/eV per atom. As for the space group: Cmcm, No. 63.

entry ii wins, 138 meV/atom ahead of the next structure.

Entry i
DFT (PBE-GGA) results for a relaxed ErMg5Sc2 crystal.

Geometry as POSCAR:
```
ErMg5Sc2
1.0
-2.6210 -4.0913 -1.6253
3.8006 -3.0575 1.5676
-3.7348 3.0029 6.5394
Er Mg Sc
1 5 2
Direct
0.0000 0.0000 0.0000
0.5000 0.5000 0.0000
0.1278 0.6278 0.2556
0.6278 0.1278 0.2556
0.8722 0.3722 0.7444
0.3722 0.8722 0.7444
0.2541 0.2541 0.5082
0.7459 0.7459 0.4918
```

## Properties
The calculation puts the density of states at the Fermi level at 0.776 states/eV per atom. As for the space group: I4/mmm, No. 139.

Entry ii
DFT (PBE-GGA) results for a relaxed ErMg5Sc2 crystal.

Geometry as POSCAR:
```
ErMg5Sc2
1.0
8.0390 0.0000 0.0000
0.0000 8.0390 0.0000
-4.0195 -4.0195 6.0921
Mg Sc Er
10 4 2
Direct
0.5208 0.3076 0.3284
0.8076 0.0208 0.3284
0.3076 0.8076 0.3284
0.6924 0.1924 0.6716
0.1924 0.9792 0.6716
0.5000 0.5000 0.0000
0.9792 0.4792 0.6716
0.0000 0.0000 0.0000
0.4792 0.6924 0.6716
0.0208 0.5208 0.3284
0.8460 0.6540 0.0000
0.1540 0.3460 0.0000
0.6540 0.1540 0.0000
0.3460 0.8460 0.0000
0.2500 0.2500 0.5000
0.7500 0.7500 0.5000
```

## Properties
The calculation puts the density of states at the Fermi level at 1.262 states/eV per atom. As for the space group: I4/mcm, No. 140.

entry i wins, 140 meV/atom ahead of the next structure.

Entry i
DFT (PBE-GGA) results for a relaxed ErMg2Sc4 crystal.

Geometry as POSCAR:
```
ErMg2Sc4
1.0
3.2256 0.0000 0.0000
0.0000 4.7604 -0.9291
0.0000 -0.2375 11.4436
Mg Sc Er
2 4 1
Direct
0.5000 0.2135 0.4270
0.5000 0.7865 0.5730
0.5000 0.9252 0.8504
0.0000 0.3504 0.7009
0.5000 0.0748 0.1496
0.0000 0.6496 0.2991
0.0000 0.5000 0.0000
```

## Properties
The calculation puts the density of states at the Fermi level at 1.459 states/eV per atom. As for the space group: Cmmm, No. 65.

Entry ii
DFT (PBE-GGA) results for a relaxed ErMg2Sc4 crystal.

Geometry as POSCAR:
```
ErMg2Sc4
1.0
-4.5824 2.0383 -1.2567
0.2241 -2.3363 -4.6069
-1.3756 -6.0202 5.8875
Sc Er Mg
4 1 2
Direct
0.0000 0.5000 0.0000
0.5000 0.0000 0.0000
0.8161 0.8161 0.6323
0.1839 0.1839 0.3677
0.0000 0.0000 0.0000
0.6157 0.6157 0.2315
0.3843 0.3843 0.7685
```

## Properties
The calculation puts the density of states at the Fermi level at 1.516 states/eV per atom. As for the space group: I4/mmm, No. 139.

entry i wins, 719 meV/atom ahead of the next structure.

Entry i
DFT (PBE-GGA) results for a relaxed Er6MgSc crystal.

Geometry as POSCAR:
```
Er6MgSc
1.0
8.3831 0.4609 -0.2676
4.5726 7.9354 -0.1536
4.1597 2.9622 3.5429
Er Sc Mg
6 1 1
Direct
0.9559 0.5032 0.7885
0.5030 0.2474 0.2936
0.4970 0.7526 0.7064
0.2475 0.0438 0.2052
0.7525 0.9562 0.7948
0.0441 0.4968 0.2115
0.5000 0.5000 0.5000
0.0000 0.0000 0.0000
```

## Properties
The calculation puts the density of states at the Fermi level at 1.898 states/eV per atom. As for the space group: R-3, No. 148.

Entry ii
DFT (PBE-GGA) results for a relaxed Er6MgSc crystal.

Geometry as POSCAR:
```
Er6MgSc
1.0
4.8598 0.0000 0.0000
0.0000 4.8598 0.0000
0.0000 0.0000 9.7914
Sc Er Mg
1 6 1
Direct
0.0000 0.0000 0.0000
0.0000 0.5000 0.7528
0.5000 0.5000 0.0000
0.5000 0.0000 0.7528
0.5000 0.0000 0.2472
0.5000 0.5000 0.5000
0.0000 0.5000 0.2472
0.0000 0.0000 0.5000
```

## Properties
The calculation puts the density of states at the Fermi level at 1.626 states/eV per atom. As for the space group: P4/mmm, No. 123.

entry ii wins, 120 meV/atom ahead of the next structure.

Entry i
DFT (PBE-GGA) results for a relaxed ErMgSc crystal.

Geometry as POSCAR:
```
ErMgSc
1.0
3.4361 0.0000 0.0000
0.0000 3.4361 0.0000
-1.7181 -1.7181 6.6255
Er Sc Mg
1 1 1
Direct
0.3342 0.3342 0.6683
0.0052 0.0052 0.0105
0.6606 0.6606 0.3212
```

## Properties
The calculation puts the density of states at the Fermi level at 1.365 states/eV per atom. As for the space group: I4mm, No. 107.

Entry ii
DFT (PBE-GGA) results for a relaxed ErMgSc crystal.

Geometry as POSCAR:
```
ErMgSc
1.0
5.0259 -0.0032 -0.6927
0.0001 3.2727 -0.0121
1.2925 1.6057 9.4167
Er Sc Mg
2 2 2
Direct
0.9767 0.7505 0.4340
0.4776 0.5295 0.8942
0.4772 0.1778 0.5829
0.9775 0.0997 0.7454
0.9768 0.9465 0.0798
0.4756 0.3481 0.2489
```

## Properties
The calculation puts the density of states at the Fermi level at 1.310 states/eV per atom. As for the space group: P1, No. 1.

Entry iii
DFT (PBE-GGA) results for a relaxed ErMgSc crystal.

Geometry as POSCAR:
```
ErMgSc
1.0
-1.0528 -1.2615 2.8044
0.9515 -4.8481 -1.8235
3.7597 2.6235 2.5915
Sc Mg Er
1 1 1
Direct
0.2627 0.3333 0.6667
0.0483 0.0000 0.0000
0.6891 0.6667 0.3333
```

## Properties
The calculation puts the density of states at the Fermi level at 1.354 states/eV per atom. As for the space group: P3m1, No. 156.

entry i wins, 18 meV/atom ahead of the next structure.

Entry i
DFT (PBE-GGA) results for a relaxed ErMgSc crystal.

Geometry as POSCAR:
```
ErMgSc
1.0
-0.1705 -1.1601 2.8974
7.9105 -2.1031 -0.3765
1.9488 7.3483 3.0570
Mg Sc Er
2 2 2
Direct
0.5000 0.7622 0.2378
0.5000 0.2378 0.7622
0.0000 0.2590 0.2590
0.0000 0.7410 0.7410
0.0000 0.0000 0.0000
0.5000 0.5000 0.5000
```

## Properties
The calculation puts the density of states at the Fermi level at 1.563 states/eV per atom. As for the space group: Cmmm, No. 65.

Entry ii
DFT (PBE-GGA) results for a relaxed ErMgSc crystal.

Geometry as POSCAR:
```
ErMgSc
1.0
3.3429 0.0021 0.2201
-0.0019 3.3520 -0.0027
-0.9126 0.0100 13.8703
Sc Mg Er
2 2 2
Direct
0.3730 0.7910 0.6755
0.8731 0.2910 0.8370
0.3716 0.7913 0.3301
0.8716 0.2913 0.1818
0.8727 0.2911 0.5031
0.3727 0.7911 0.0093
```

## Properties
The calculation puts the density of states at the Fermi level at 1.185 states/eV per atom. As for the space group: P4/nmm, No. 129.

entry ii wins, 789 meV/atom ahead of the next structure.

Entry i
DFT (PBE-GGA) results for a relaxed ErMgSc2 crystal.

Geometry as POSCAR:
```
ErMgSc2
1.0
2.9488 -0.0003 -1.4145
-1.6240 7.6618 0.3947
-2.3529 -0.3581 10.2187
Sc Mg Er
4 2 2
Direct
0.0350 0.2985 0.4429
0.9649 0.7015 0.5570
0.2182 0.1770 0.0649
0.7818 0.8231 0.9351
0.9511 0.0700 0.7078
0.0489 0.9300 0.2922
0.8628 0.4685 0.8143
0.1373 0.5315 0.1858
```

## Properties
The calculation puts the density of states at the Fermi level at 1.634 states/eV per atom. As for the space group: C2/m, No. 12.

Entry ii
DFT (PBE-GGA) results for a relaxed ErMgSc2 crystal.

Geometry as POSCAR:
```
ErMgSc2
1.0
3.3679 0.0000 0.0000
0.0000 3.3679 0.0000
0.0000 0.0000 9.0033
Mg Er Sc
1 1 2
Direct
0.5000 0.5000 0.0000
0.5000 0.5000 0.5000
0.0000 0.0000 0.7628
0.0000 0.0000 0.2372
```

## Properties
The calculation puts the density of states at the Fermi level at 1.397 states/eV per atom. As for the space group: P4/mmm, No. 123.

Entry iii
DFT (PBE-GGA) results for a relaxed ErMgSc2 crystal.

Geometry as POSCAR:
```
ErMgSc2
1.0
-1.4829 -4.9512 -0.8853
3.2771 -3.9503 1.0739
-0.9867 -3.2025 4.0334
Er Mg Sc
1 1 2
Direct
0.0000 0.0000 0.0000
0.5000 0.5000 0.5000
0.2500 0.2500 0.2500
0.7500 0.7500 0.7500
```

## Properties
The calculation puts the density of states at the Fermi level at 1.768 states/eV per atom. As for the space group: Fm-3m, No. 225.

Entry iv
DFT (PBE-GGA) results for a relaxed ErMgSc2 crystal.

Geometry as POSCAR:
```
ErMgSc2
1.0
-2.7698 1.6357 0.7663
-2.9432 -1.4523 -0.4035
-1.3854 -3.8026 10.2435
Sc Mg Er
2 1 1
Direct
0.7481 0.7481 0.7557
0.2519 0.2519 0.2443
0.0000 0.0000 0.0000
0.5000 0.5000 0.5000
```

## Properties
The calculation puts the density of states at the Fermi level at 1.386 states/eV per atom. As for the space group: R-3m, No. 166.

entry ii wins, 35 meV/atom ahead of the next structure.

Entry i
DFT (PBE-GGA) results for a relaxed ErMgSc2 crystal.

Geometry as POSCAR:
```
ErMgSc2
1.0
-2.0707 -0.1059 -4.2500
0.0601 -4.6528 0.0867
-4.1836 -0.0160 2.0387
Er Sc Mg
1 2 1
Direct
0.5000 0.0000 0.0000
0.0000 0.5000 0.0000
0.0000 0.0000 0.5000
0.5000 0.5000 0.5000
```

## Properties
The calculation puts the density of states at the Fermi level at 1.972 states/eV per atom. As for the space group: P4/mmm, No. 123.

Entry ii
DFT (PBE-GGA) results for a relaxed ErMgSc2 crystal.

Geometry as POSCAR:
```
ErMgSc2
1.0
3.3038 0.0000 0.0000
1.6519 2.8611 0.0000
1.6519 0.9537 10.9382
Sc Mg Er
2 1 1
Direct
0.2493 0.2493 0.2520
0.0840 0.0840 0.7479
0.5001 0.5001 0.4997
0.6665 0.6665 0.0004
```

## Properties
The calculation puts the density of states at the Fermi level at 1.583 states/eV per atom. As for the space group: R3m, No. 160.

entry i wins, 17 meV/atom ahead of the next structure.

Entry i
DFT (PBE-GGA) results for a relaxed Er6MgSc3 crystal.

Geometry as POSCAR:
```
Er6MgSc3
1.0
6.2209 0.0000 0.0000
0.0000 10.5059 -2.4184
0.0000 -4.7018 9.7014
Sc Er Mg
6 12 2
Direct
0.4865 0.2951 0.0450
0.9865 0.7049 0.9550
0.5917 0.5879 0.4121
0.9865 0.0450 0.2951
0.0917 0.4121 0.5879
0.4865 0.9550 0.7049
0.7734 0.2916 0.7084
0.3287 0.1007 0.5334
0.8287 0.8993 0.4666
0.8287 0.5334 0.1007
0.5637 0.2627 0.3720
0.0637 0.7373 0.6280
0.0637 0.3720 0.2627
0.5637 0.6280 0.7373
0.3039 0.9825 0.0175
0.2734 0.7084 0.2916
0.8039 0.0175 0.9825
0.3287 0.4666 0.8993
0.5586 0.8458 0.1542
0.0586 0.1542 0.8458
```

## Properties
The calculation puts the density of states at the Fermi level at 1.365 states/eV per atom. As for the space group: Cmc2_1, No. 36.

Entry ii
DFT (PBE-GGA) results for a relaxed Er6MgSc3 crystal.

Geometry as POSCAR:
```
Er6MgSc3
1.0
3.4850 0.0000 0.0000
0.0000 13.0938 0.3235
0.0000 0.6118 12.3611
Sc Er Mg
6 12 2
Direct
0.7500 0.2184 0.9777
0.7500 0.4150 0.5840
0.7500 0.6210 0.1842
0.2500 0.7816 0.0223
0.2500 0.3790 0.8158
0.2500 0.5850 0.4160
0.2500 0.1826 0.2128
0.7500 0.5813 0.9164
0.7500 0.1841 0.7144
0.7500 0.7786 0.5164
0.7500 0.3883 0.3184
0.7500 0.9818 0.1157
0.2500 0.4187 0.0836
0.2500 0.8159 0.2856
0.7500 0.8174 0.7872
0.2500 0.0182 0.8843
0.2500 0.2214 0.4836
0.2500 0.6117 0.6816
0.2500 0.9852 0.6126
0.7500 0.0148 0.3874
```

## Properties
The calculation puts the density of states at the Fermi level at 1.655 states/eV per atom. As for the space group: P2_1/m, No. 11.

entry ii wins, 85 meV/atom ahead of the next structure.